! LaInN2O | Alexandria via LeMat-Bulk | GGA-PBE | relaxed; values from VASP
&SYSTEM
  ibrav = 0, nat = 5, ntyp = 4
/
ATOMIC_SPECIES
La 138.91 La.upf
In 114.82 In.upf
N 14.01 N.upf
O 16.00 O.upf
CELL_PARAMETERS angstrom
4.425 0.000 0.000
0.000 4.425 0.000
0.000 0.000 4.450
ATOMIC_POSITIONS angstrom
La 0.000 0.000 0.000
In 2.212 2.212 2.225
N 0.000 2.212 0.000
N 2.212 0.000 0.000
O 0.000 0.000 2.225
! Crystal system: tetragonal
! Formation energy from raw total energies, meV/atom: 391



! La2InOsN | Alexandria via LeMat-Bulk | GGA-PBE | relaxed; values from VASP
&SYSTEM
  ibrav = 0, nat = 5, ntyp = 4
/
ATOMIC_SPECIES
La 138.91 La.upf
In 114.82 In.upf
Os 190.23 Os.upf
N 14.01 N.upf
CELL_PARAMETERS angstrom
5.430 0.000 0.000
0.000 5.430 0.000
0.000 0.000 3.868
ATOMIC_POSITIONS angstrom
La 0.000 2.715 0.000
La 2.715 0.000 0.000
In 0.000 0.000 1.934
Os 2.715 2.715 1.934
N 2.715 2.715 0.000
! Crystal system: tetragonal
! Formation energy from raw total energies, meV/atom: -568



! La12InPb4N3 | Alexandria via LeMat-Bulk | GGA-PBE | relaxed; values from VASP
&SYSTEM
  ibrav = 0, nat = 20, ntyp = 4
/
ATOMIC_SPECIES
La 138.91 La.upf
In 114.82 In.upf
Pb 207.20 Pb.upf
N 14.01 N.upf
CELL_PARAMETERS angstrom
-5.331 5.331 5.331
5.331 -5.331 5.331
5.331 5.331 -5.331
ATOMIC_POSITIONS angstrom
La 2.964 0.000 0.000
La 7.697 0.000 0.000
La 5.331 2.665 0.000
La 5.331 0.000 2.665
La 0.000 2.964 0.000
La 0.000 0.000 2.964
La 2.665 5.331 0.000
La 2.665 0.000 5.331
La 0.000 7.697 0.000
La 0.000 0.000 7.697
La 0.000 5.331 2.665
La 0.000 2.665 5.331
In 0.000 0.000 0.000
Pb 2.665 2.665 -2.665
Pb 2.665 -2.665 2.665
Pb -2.665 2.665 2.665
Pb 2.665 2.665 2.665
N 5.331 0.000 0.000
N 0.000 5.331 0.000
N 0.000 0.000 5.331
! Crystal system: cubic
! Formation energy from raw total energies, meV/atom: -663



! La12In4PbN3 | Alexandria via LeMat-Bulk | GGA-PBE | relaxed; values from VASP
&SYSTEM
  ibrav = 0, nat = 20, ntyp = 4
/
ATOMIC_SPECIES
La 138.91 La.upf
In 114.82 In.upf
Pb 207.20 Pb.upf
N 14.01 N.upf
CELL_PARAMETERS angstrom
-5.360 5.360 5.360
5.360 -5.360 5.360
5.360 5.360 -5.360
ATOMIC_POSITIONS angstrom
La 3.004 0.000 0.000
La 7.717 0.000 0.000
La 5.360 2.680 0.000
La 5.360 0.000 2.680
La 0.000 3.004 0.000
La 0.000 0.000 3.004
La 2.680 5.360 0.000
La 2.680 0.000 5.360
La 0.000 7.717 0.000
La 0.000 0.000 7.717
La 0.000 5.360 2.680
La 0.000 2.680 5.360
In 2.680 2.680 -2.680
In 2.680 -2.680 2.680
In -2.680 2.680 2.680
In 2.680 2.680 2.680
Pb 0.000 0.000 0.000
N 5.360 0.000 0.000
N 0.000 5.360 0.000
N 0.000 0.000 5.360
! Crystal system: cubic
! Formation energy from raw total energies, meV/atom: -609



! La4InPbN | Alexandria via LeMat-Bulk | GGA-PBE | relaxed; values from VASP
&SYSTEM
  ibrav = 0, nat = 14, ntyp = 4
/
ATOMIC_SPECIES
La 138.91 La.upf
In 114.82 In.upf
Pb 207.20 Pb.upf
N 14.01 N.upf
CELL_PARAMETERS angstrom
3.544 -8.582 0.000
3.544 8.582 0.000
0.000 0.000 7.102
ATOMIC_POSITIONS angstrom
La 1.772 4.291 0.000
La 1.772 4.291 3.551
La 3.544 7.176 5.327
La 3.544 1.496 5.327
La 1.772 -4.291 0.000
La 1.772 -4.291 3.551
La 3.544 -1.496 1.776
La 3.544 -7.176 1.776
In 3.544 1.920 1.776
In 3.544 -1.920 5.327
Pb 3.544 6.720 1.776
Pb 3.544 -6.720 5.327
N 3.544 4.023 5.327
N 3.544 -4.023 1.776
! Crystal system: orthorhombic
! Formation energy from raw total energies, meV/atom: -747



! LaPm2InN | Alexandria via LeMat-Bulk | GGA-PBE | relaxed; values from VASP
&SYSTEM
  ibrav = 0, nat = 5, ntyp = 4
/
ATOMIC_SPECIES
La 138.91 La.upf
Pm 145.00 Pm.upf
In 114.82 In.upf
N 14.01 N.upf
CELL_PARAMETERS angstrom
5.028 0.000 0.000
0.000 5.028 0.000
0.000 0.000 5.080
ATOMIC_POSITIONS angstrom
La 0.000 0.000 0.000
Pm 0.000 2.514 2.540
Pm 2.514 0.000 2.540
In 2.514 2.514 0.000
N 0.000 0.000 2.540
! Crystal system: tetragonal
! Formation energy from raw total energies, meV/atom: -882